First-principles (PBE) data for In12Sn3P5 after structural relaxation, as listed in the Alexandria database.

The structure in POSCAR format:
```
In12Sn3P5
1.0
-8.342 8.342 8.342
8.342 -8.342 8.342
8.342 8.342 -8.342
In Sn P
48 12 20
Direct
0.045 0.219 0.132
0.045 0.327 0.913
0.087 0.632 0.413
0.087 0.719 0.673
0.087 0.868 0.413
0.087 0.955 0.673
0.132 0.045 0.219
0.132 0.587 0.913
0.173 0.219 0.587
0.173 0.455 0.587
0.219 0.132 0.045
0.219 0.587 0.173
0.281 0.327 0.913
0.281 0.455 0.368
0.327 0.913 0.045
0.327 0.913 0.281
0.368 0.281 0.455
0.368 0.587 0.913
0.413 0.087 0.632
0.413 0.087 0.868
0.413 0.827 0.545
0.413 0.827 0.781
0.455 0.368 0.281
0.455 0.587 0.173
0.545 0.413 0.827
0.545 0.632 0.719
0.587 0.173 0.219
0.587 0.173 0.455
0.587 0.913 0.132
0.587 0.913 0.368
0.632 0.413 0.087
0.632 0.719 0.545
0.673 0.087 0.719
0.673 0.087 0.955
0.719 0.545 0.632
0.719 0.673 0.087
0.781 0.413 0.827
0.781 0.868 0.955
0.827 0.545 0.413
0.827 0.781 0.413
0.868 0.413 0.087
0.868 0.955 0.781
0.913 0.045 0.327
0.913 0.132 0.587
0.913 0.281 0.327
0.913 0.368 0.587
0.955 0.673 0.087
0.955 0.781 0.868
0.125 0.250 0.375
0.125 0.375 0.750
0.250 0.375 0.125
0.250 0.875 0.625
0.375 0.125 0.250
0.375 0.750 0.125
0.625 0.250 0.875
0.625 0.875 0.750
0.750 0.125 0.375
0.750 0.625 0.875
0.875 0.625 0.250
0.875 0.750 0.625
0.000 0.000 0.000
0.000 0.000 0.500
0.000 0.500 0.000
0.000 0.500 0.500
0.125 0.750 0.875
0.125 0.875 0.250
0.250 0.125 0.875
0.250 0.625 0.375
0.375 0.250 0.625
0.375 0.625 0.750
0.500 0.000 0.000
0.500 0.000 0.500
0.500 0.500 0.000
0.500 0.500 0.500
0.625 0.375 0.250
0.625 0.750 0.375
0.750 0.375 0.625
0.750 0.875 0.125
0.875 0.125 0.750
0.875 0.250 0.125
```

Output
As for the spin magnetization: 0.000 μB/atom. The calculated formation energy is 0.094 eV per atom. The symmetry is Ia-3d, No. 230.

First-principles (PBE) data for V2Fe2Si after structural relaxation, as listed in the Alexandria database.

The structure in POSCAR format:
```
V2Fe2Si
1.0
6.569 0.000 0.000
0.000 6.569 0.000
0.000 0.000 2.819
V Fe Si
4 4 2
Direct
0.168 0.332 0.000
0.332 0.832 0.000
0.668 0.168 0.000
0.832 0.668 0.000
0.134 0.634 0.500
0.366 0.134 0.500
0.634 0.866 0.500
0.866 0.366 0.500
0.000 0.000 0.500
0.500 0.500 0.500
```

Output
For the formation energy (no corrections), the calculation gives -0.101 eV/atom. As for the spin magnetization: 0.000 μB/atom. The calculation puts the energy above the lowest structure with this stoichiometry at 0.000 eV/atom. The symmetry is P4/mbm, No. 127.

First-principles (PBE) data for Ac3Sb2Rh4 after structural relaxation, as listed in the Alexandria database.

The structure in POSCAR format:
```
Ac3Sb2Rh4
1.0
5.930 -2.214 0.000
5.930 2.214 0.000
-3.599 0.000 8.477
Ac Sb Rh
3 2 4
Direct
0.000 0.000 0.000
0.374 0.374 0.298
0.626 0.626 0.702
0.334 0.334 0.676
0.666 0.666 0.324
0.105 0.105 0.432
0.283 0.283 0.936
0.717 0.717 0.064
0.895 0.895 0.568
```

Output
For the formation energy (no corrections), the calculation gives -0.737 eV/atom. As for the spin magnetization: 0.000 μB/atom. The calculation puts the energy above the lowest structure with this stoichiometry at 0.036 eV/atom. The symmetry is C2/m, No. 12.

First-principles (PBE) data for Ba2MgW after structural relaxation, as listed in the Alexandria database.

The structure in POSCAR format:
```
Ba2MgW
1.0
4.864 -1.628 0.000
4.864 1.628 0.000
-0.729 0.000 8.583
Ba Mg W
2 1 1
Direct
0.245 0.245 0.218
0.755 0.755 0.782
0.000 0.000 0.500
0.500 0.500 0.000
```

Output
As for the spin magnetization: 0.330 μB/atom. The calculated formation energy is 1.179 eV per atom. The symmetry is C2/m, No. 12.

First-principles (PBE) data for TiZn3Pd4 after structural relaxation, as listed in the Alexandria database.

The structure in POSCAR format:
```
TiZn3Pd4
1.0
-2.035 2.035 7.107
2.035 -2.035 7.107
2.035 2.035 -7.107
Ti Zn Pd
1 3 4
Direct
0.000 0.000 0.000
0.252 0.252 0.000
0.500 0.500 0.000
0.748 0.748 0.000
0.124 0.624 0.500
0.376 0.876 0.500
0.624 0.124 0.500
0.876 0.376 0.500
```

Output
As for the spin magnetization: 0.000 μB/atom. The calculated formation energy is -0.577 eV per atom. The symmetry is I4/mmm, No. 139.

First-principles (PBE) data for TiH3Pt after structural relaxation, as listed in the Alexandria database.

The structure in POSCAR format:
```
TiH3Pt
1.0
3.517 0.000 0.000
0.000 3.517 0.000
0.000 0.000 3.517
Ti H Pt
1 3 1
Direct
0.000 0.000 0.000
0.000 0.500 0.500
0.500 0.000 0.500
0.500 0.500 0.000
0.500 0.500 0.500
```

Output
As for the spin magnetization: 0.000 μB/atom. The symmetry is Pm-3m, No. 221.

Table of DOS(E_F) (states/eV per atom), in record order: 0.3106, 0.6988, 0.8287, 1.1263, 0.3834, 0.6343
Table of VASP energy (eV/cell), in record order: -280.1, -82.2, -56.6, -13.7, -37.1, -24.4